! TlCrSbO6 GGA+U optimized geometry; values from VASP
! * SG: No. 102
! * E_tot: -6.050 eV/atom
&SYSTEM
  ibrav = 0, nat = 18, ntyp = 4
/
ATOMIC_SPECIES
Tl 204.38 Tl.upf
O 16.00 O.upf
Cr 52.00 Cr.upf
Sb 121.76 Sb.upf
CELL_PARAMETERS angstrom
4.7819 0.0000 0.0000
0.0000 4.7819 0.0000
0.0000 0.0000 9.6445
ATOMIC_POSITIONS crystal
Tl 0.0000 0.0000 0.6680
Tl 0.5000 0.5000 0.1680
O 0.7046 0.7046 0.3517
O 0.7954 0.2046 0.8517
O 0.2046 0.7954 0.8517
O 0.6756 0.6756 0.6633
O 0.7873 0.2127 0.4847
O 0.7127 0.7127 0.9847
O 0.8244 0.1756 0.1633
O 0.2954 0.2954 0.3517
O 0.2127 0.7873 0.4847
O 0.1756 0.8244 0.1633
O 0.3244 0.3244 0.6633
O 0.2873 0.2873 0.9847
Cr 0.5000 0.5000 0.4991
Cr 0.0000 0.0000 0.9991
Sb 0.5000 0.5000 0.8335
Sb 0.0000 0.0000 0.3335